Below is an optimized crystal structure of CaCd2W, with properties calculated at the GGA-PBEsol level.

Summary:
Total moment = 0.0 μB per formula unit
DOS(E_F) = 1.7 states/eV/f.u.
DFT total energy = -4.179 eV per atom
ΔE_f = 405.0 meV/atom

The structure in extended XYZ format:
```
4
Lattice="2.883 0.101 0.000 -0.095 2.883 0.000 0.000 0.000 9.616" Properties=species:S:1:pos:R:3 pbc="T T T"
Ca 1.394 1.492 2.490
W 0.000 0.000 4.939
Cd 0.000 0.000 9.496
Cd 1.394 1.492 7.116
```